DFT (PBE) results for Cs2ScTe6Au2 after structural relaxation.

formation energy (no corrections): -0.524 eV per atom
crystal system: monoclinic
SG: C2/m (12)

a b c (Å): 8.0248 7.9730 9.1737
angles (deg): 115.63 90.00 120.21
Sites, in units of the cell vectors:
Te1 0.6963 0.9627 0.2323
Te2 0.7330 0.4659 0.7672
Te3 0.2670 0.5341 0.2328
Te4 0.3037 0.0373 0.7677
Te5 0.7335 0.0373 0.7677
Te6 0.2665 0.9627 0.2323
Cs1 0.2571 0.5143 0.7691
Cs2 0.7429 0.4857 0.2309
Au1 0.9124 0.8249 0.7325
Au2 0.0876 0.1751 0.2675
Sc1 0.5000 0.0000 0.5000


DFT (PBE) results for MnCdMo2 after structural relaxation.

ΔH_f (0 K): 421 meV per atom
crystal system: orthorhombic
SG: Imm2 (44)

a b c (Å): 5.1507 5.1507 5.1507
angles (deg): 142.30 126.90 66.94
Sites, in units of the cell vectors:
Cd1 0.4967 0.4967 0.0000
Mo1 0.9956 0.9956 0.0000
Mo2 0.7726 0.2726 0.5000
Mn1 0.2351 0.7351 0.5000


DFT (PBE) results for Ni2Os after structural relaxation.

ΔH_f (0 K): 134 meV per atom
excess energy over the best structure of this formula in the dataset: 0.071 eV per atom
crystal system: trigonal
SG: R3m (160)

a b c (Å): 2.6406 2.6406 18.3917
angles (deg): 90.00 90.00 120.00
Sites, in units of the cell vectors:
Ni1 0.6667 0.3333 0.5977
Ni2 0.3333 0.6667 0.9310
Ni3 0.6667 0.3333 0.8209
Ni4 0.0000 0.0000 0.4876
Ni5 0.0000 0.0000 0.2643
Ni6 0.3333 0.6667 0.1542
Os1 0.0000 0.0000 0.0425
Os2 0.6667 0.3333 0.3758
Os3 0.3333 0.6667 0.7092


DFT (PBE) results for Cd2RuPtF after structural relaxation.

formation energy (no corrections): 0.143 eV per atom
crystal system: tetragonal
SG: P4/mmm (123)

a b c (Å): 4.6276 4.0349 4.6276
angles (deg): 90.00 90.00 90.00
Sites, in units of the cell vectors:
Cd1 0.0000 0.0000 0.5000
Cd2 0.5000 0.0000 0.0000
Ru1 0.0000 0.5000 0.0000
Pt1 0.5000 0.5000 0.5000
F1 0.0000 0.0000 0.0000


DFT (PBE) results for Tl4ZnAu after structural relaxation.

ΔH_f (0 K): 351 meV per atom
crystal system: cubic
SG: F-43m (216)

a b c (Å): 6.3405 6.3405 6.3405
angles (deg): 60.00 60.00 60.00
Sites, in units of the cell vectors:
Tl1 0.3747 0.8760 0.3747
Tl2 0.8760 0.3747 0.3747
Tl3 0.3747 0.3747 0.8760
Tl4 0.3747 0.3747 0.3747
Zn1 0.7500 0.7500 0.7500
Au1 0.0000 0.0000 0.0000


DFT (PBE) results for Li3TmZn8 after structural relaxation.

ΔH_f (0 K): -211 meV per atom
crystal system: trigonal
SG: R3m (160)

a b c (Å): 5.1864 5.1864 9.1218
angles (deg): 73.48 73.48 60.00
Sites, in units of the cell vectors:
Tm1 0.8753 0.8753 0.3741
Li1 0.0034 0.0034 0.9897
Li2 0.4946 0.4946 0.5162
Li3 0.3747 0.3747 0.8759
Zn1 0.9393 0.4390 0.1827
Zn2 0.1869 0.1869 0.4393
Zn3 0.4390 0.4390 0.1827
Zn4 0.9370 0.9370 0.6905
Zn5 0.9370 0.4356 0.6905
Zn6 0.6882 0.6882 0.9353
Zn7 0.4356 0.9370 0.6905
Zn8 0.4390 0.9393 0.1827


What did the fourth record say?
DFT (PBE) results for Cd2RuPtF after structural relaxation.

formation energy (no corrections): 0.143 eV per atom
crystal system: tetragonal
SG: P4/mmm (123)

a b c (Å): 4.6276 4.0349 4.6276
angles (deg): 90.00 90.00 90.00
Sites, in units of the cell vectors:
Cd1 0.0000 0.0000 0.5000
Cd2 0.5000 0.0000 0.0000
Ru1 0.0000 0.5000 0.0000
Pt1 0.5000 0.5000 0.5000
F1 0.0000 0.0000 0.0000